# 1
This record from Alexandria describes a relaxed structure of Na3Er3UO8. The functional is PBE.

Values from the calculation:
Theoretical density, g/cm³: 6.79
Energy relative to the elements, uncorrected, eV per atom: -2.84
D(E_F), states/eV/cell: 23.95
Total moment, μB per formula unit: 2.0

abc: 6.8538 6.8538 16.9013
angles: 90.00 90.00 120.00
With the nearest neighbours (Å) after each atom.
Space group R-3m (No. 166, hexagonal axes)
Asymmetric unit:
Na  0.0000  0.5000  0.0000 x9  6 O 2.58-2.59
Er  0.0000  0.5000  0.5000 x9  6 O 2.29
U  0.0000  0.0000  0.5000 x3  6 O 2.23
O  0.0000  0.0000  0.2352 x6  3 Er 2.29
O  0.0079  0.5039  0.2328 x18  1 U 2.23, 2 Er 2.29

# 2
This record from Alexandria describes a relaxed structure of NbTc2I. The functional is PBE.

Values from the calculation:
Theoretical density, g/cm³: 6.87
ΔE to the lowest computed polymorph, meV per atom: 583.6
Energy relative to the elements, uncorrected, eV per atom: 1.30
D(E_F), states/eV/cell: 14.03
Total moment, μB per formula unit: 0.0

abc: 5.8655 5.8655 11.6849
angles: 90.00 90.00 90.00
With the nearest neighbours (Å) after each atom.
Space group I-42d (No. 122)
Asymmetric unit:
Nb  0.0000  0.0000  0.0000 x4  4 Tc 2.48
Tc  0.2333  0.2500  0.1250 x8  2 Nb 2.48, 2 I 2.59
I  0.0000  0.0000  0.5000 x4  4 Tc 2.59

# 3
This record from Alexandria describes a relaxed structure of LaSmHo. The functional is PBE.

Values from the calculation:
Energy of formation, eV per atom: 0.0689
Theoretical density, g/cm³: 7.49
ΔE to the lowest computed polymorph, meV per atom: 47.8
D(E_F), states/eV/cell: 4.30
Total moment, μB per formula unit: 0.0

abc: 5.7579 5.7579 3.5090
angles: 90.00 90.00 120.00
With the nearest neighbours (Å) after each atom.
Space group P3m1 (No. 156)
Asymmetric unit:
La  0.0000  0.0000  0.0000 x1  3 Ho 3.32, 2 La 3.51
Sm  0.3333  0.6667  0.5008 x1  2 Sm 3.51, 6 Ho 3.76, 6 La 3.76
Ho  0.6667  0.3333  0.0023 x1  3 La 3.32, 2 Ho 3.51

# 4
This record from Alexandria describes a relaxed structure of CaRh2. The functional is PBE.

Values from the calculation:
Energy of formation, eV per atom: -0.1867
Theoretical density, g/cm³: 6.70
D(E_F), states/eV/cell: 17.01
Total moment, μB per formula unit: 0.4

abc: 5.0648 5.0648 9.4967
angles: 90.00 90.00 90.00
With the nearest neighbours (Å) after each atom.
Space group I4/mcm (No. 140)
Asymmetric unit:
Ca  0.0000  0.0000  0.2500 x4  8 Rh 3.02
Rh  0.1774  0.3226  0.0000 x8  5 Rh 2.54-2.64

# 5
This record from Alexandria describes a relaxed structure of SmErZn10. The functional is PBE.

Values from the calculation:
Energy of formation, eV per atom: -0.2780
Theoretical density, g/cm³: 7.80
D(E_F), states/eV/cell: 5.37
Total moment, μB per formula unit: 0.0

abc: 4.2210 5.3291 9.1998
angles: 90.00 90.00 90.00
With the nearest neighbours (Å) after each atom.
Space group Pmmm (No. 47)
Asymmetric unit:
Sm  0.0000  0.0000  0.0000 x1  18 Zn 3.09-3.41
Er  0.0000  0.5000  0.5000 x1  14 Zn 3.03-3.38
Zn  0.0000  0.0000  0.3377 x2  6 Zn 2.59-2.62
Zn  0.0000  0.5000  0.1705 x2  6 Zn 2.60-2.63
Zn  0.5000  0.0000  0.5000 x1  8 Zn 2.59-2.64
Zn  0.5000  0.2510  0.2521 x4  8 Zn 2.60-2.68
Zn  0.5000  0.5000  0.0000 x1  8 Zn 2.63-2.67

# 6
This record from Alexandria describes a relaxed structure of CdB4Pt12. The functional is PBE.

Values from the calculation:
Energy of formation, eV per atom: -0.1875
Theoretical density, g/cm³: 16.72
D(E_F), states/eV/cell: 19.66
Total moment, μB per formula unit: 0.0

abc: 7.9159 7.9159 7.9159
angles: 90.00 90.00 90.00
With the nearest neighbours (Å) after each atom.
Space group Im-3 (No. 204)
Asymmetric unit:
Cd  0.0000  0.0000  0.0000 x2  12 Pt 2.91
B  0.2500  0.2500  0.2500 x8  6 Pt 2.14
Pt  0.0000  0.3225  0.1761 x24  2 B 2.14

# 7
This record from Alexandria describes a relaxed structure of Sc2Hg2Au. The functional is PBE.

Values from the calculation:
Energy of formation, eV per atom: -0.4352
Theoretical density, g/cm³: 10.42
ΔE to the lowest computed polymorph, meV per atom: 0.0
D(E_F), states/eV/cell: 7.97
Total moment, μB per formula unit: 0.0

abc: 3.3802 19.6420 3.3022
angles: 90.00 90.00 90.00
With the nearest neighbours (Å) after each atom.
Space group Cmmm (No. 65)
Asymmetric unit:
Sc  0.0000  0.0893  0.0000 x4  4 Au 2.94, 4 Hg 3.05
Hg  0.0000  0.3124  0.5000 x4  4 Hg 2.98-3.30, 4 Sc 3.05
Au  0.0000  0.5000  0.5000 x2  8 Sc 2.94

# 8
This record from Alexandria describes a relaxed structure of Ti2NiPt. The functional is PBE.

Values from the calculation:
Energy of formation, eV per atom: -0.2525
Theoretical density, g/cm³: 9.31
D(E_F), states/eV/cell: 26.91
Total moment, μB per formula unit: 0.0

abc: 6.8972 6.8972 5.2410
angles: 90.00 90.00 90.00
With the nearest neighbours (Å) after each atom.
Space group I-42d (No. 122)
Asymmetric unit:
Ti  0.2364  0.2500  0.1250 x8  2 Ni 2.46, 2 Pt 2.59, 2 Ti 2.63
Ni  0.0000  0.0000  0.0000 x4  4 Ti 2.46, 2 Pt 2.62
Pt  0.0000  0.0000  0.5000 x4  4 Ti 2.59, 2 Ni 2.62

# 9
This record from Alexandria describes a relaxed structure of CeThReTc. The functional is PBE.

Values from the calculation:
Energy of formation, eV per atom: 0.1423
Theoretical density, g/cm³: 12.50
D(E_F), states/eV/cell: 18.82
Total moment, μB per formula unit: 0.0

abc: 7.0393 7.0393 7.0393
angles: 90.00 90.00 90.00
With the nearest neighbours (Å) after each atom.
Space group F-43m (No. 216)
Asymmetric unit:
Ce  0.0000  0.0000  0.0000 x4  4 Re 3.05, 4 Tc 3.05
Th  0.0000  0.0000  0.5000 x4  4 Re 3.05, 4 Tc 3.05
Re  0.2500  0.2500  0.2500 x4  4 Th 3.05, 4 Ce 3.05
Tc  0.2500  0.2500  0.7500 x4  4 Th 3.05, 4 Ce 3.05

# 10
This record from Alexandria describes a relaxed structure of Li4TlIn. The functional is PBE.

Values from the calculation:
Energy of formation, eV per atom: -0.2296
Theoretical density, g/cm³: 5.07
ΔE to the lowest computed polymorph, meV per atom: 0.0
D(E_F), states/eV/cell: 4.35
Total moment, μB per formula unit: 0.0

abc: 8.1016 4.7147 5.9551
angles: 90.00 90.45 90.00
With the nearest neighbours (Å) after each atom.
Space group C2/m (No. 12)
Asymmetric unit:
Li  0.1671  0.0000  0.2306 x4  5 Li 2.71-3.01, 1 In 3.04
Li  0.1668  0.0000  0.7365 x4  5 Li 2.71-3.01
Tl  0.0000  0.5000  0.5000 x2  2 In 2.98, 12 Li 3.05-3.16
In  0.0000  0.5000  0.0000 x2  2 Tl 2.98, 12 Li 3.04-3.14

# 11
This record from Alexandria describes a relaxed structure of ErCdIn3. The functional is PBE.

Values from the calculation:
Energy of formation, eV per atom: -0.0355
Theoretical density, g/cm³: 7.06
D(E_F), states/eV/cell: 11.10
Total moment, μB per formula unit: 0.0

abc: 9.3785 11.0654 5.6556
angles: 90.00 90.00 90.00
With the nearest neighbours (Å) after each atom.
Space group Cmcm (No. 63)
Asymmetric unit:
Er  0.0000  0.2355  0.2500 x4  8 In 3.09-3.34, 1 Cd 3.18
Cd  0.0000  0.0523  0.7500 x4  2 Cd 3.06, 2 In 3.17, 1 Er 3.18
In  0.0000  0.5000  0.0000 x4  6 In 2.83-3.10
In  0.1732  0.2987  0.7500 x8  3 Er 3.09-3.34, 5 In 3.10-3.35, 1 Cd 3.17

# 12
This record from Alexandria describes a relaxed structure of ZrH4Ru3. The functional is PBE.

Values from the calculation:
Theoretical density, g/cm³: 9.52
D(E_F), states/eV/cell: 1.92
Energy, eV/atom: -6.4433
Total moment, μB per formula unit: 0.0

abc: 4.1118 4.1118 4.1118
angles: 90.00 90.00 90.00
With the nearest neighbours (Å) after each atom.
Space group Pm-3m (No. 221)
Asymmetric unit:
Zr  0.0000  0.0000  0.0000 x1  6 H 2.06
H  0.0000  0.0000  0.5000 x3  2 Zr 2.06, 4 Ru 2.06
H  0.5000  0.5000  0.5000 x1  6 Ru 2.06
Ru  0.0000  0.5000  0.5000 x3  6 H 2.06

Question: Among the records above, which one has the lowest theoretical density?
Answer: Li4TlIn

Question: What is the total moment in the sixth record?
Answer: 0.0 μB per formula unit

Question: What is the theoretical density in the tenth record?
Answer: 5.07 g/cm³

Please write out number 10 again, unchanged.
This record from Alexandria describes a relaxed structure of Li4TlIn. The functional is PBE.

Values from the calculation:
Energy of formation, eV per atom: -0.2296
Theoretical density, g/cm³: 5.07
ΔE to the lowest computed polymorph, meV per atom: 0.0
D(E_F), states/eV/cell: 4.35
Total moment, μB per formula unit: 0.0

abc: 8.1016 4.7147 5.9551
angles: 90.00 90.45 90.00
With the nearest neighbours (Å) after each atom.
Space group C2/m (No. 12)
Asymmetric unit:
Li  0.1671  0.0000  0.2306 x4  5 Li 2.71-3.01, 1 In 3.04
Li  0.1668  0.0000  0.7365 x4  5 Li 2.71-3.01
Tl  0.0000  0.5000  0.5000 x2  2 In 2.98, 12 Li 3.05-3.16
In  0.0000  0.5000  0.0000 x2  2 Tl 2.98, 12 Li 3.04-3.14